# 1
VASP calculation (PBEsol) on a relaxed CaYOs4 crystal.

Cell lengths 5.300, 5.300, 5.300 Å; angles 60.00, 60.00, 60.00 degrees
Sites, in units of the cell vectors:
Ca  0.000  0.000  0.000
Y  0.750  0.750  0.750
Os  0.375  0.375  0.375
Os  0.375  0.375  0.875
Os  0.375  0.875  0.375
Os  0.875  0.375  0.375

Energy of formation from the pure elements: -0.20 eV/f.u.
Raw total energy: -58.0 eV per formula unit
Calculated density: 14.0 g cm⁻³



# 2
VASP calculation (PBEsol) on a relaxed K2TlPt crystal.

Cell lengths 4.714, 4.714, 8.155 Å; angles 106.28, 106.28, 59.96 degrees
Sites, in units of the cell vectors:
K  0.000  0.000  0.000
K  0.175  0.175  0.543
Tl  0.754  0.754  0.272
Pt  0.421  0.421  0.270

Energy of formation from the pure elements: -0.28 eV/f.u.
Raw total energy: -12.1 eV per formula unit
Calculated density: 5.3 g cm⁻³
Distance to the lowest polymorph of the same formula: 0.0 kJ per mole of atoms



# 3
VASP calculation (PBEsol) on a relaxed ZnMo2Se crystal.

Cell lengths 5.077, 5.077, 5.077 Å; angles 144.00, 126.63, 66.07 degrees
Sites, in units of the cell vectors:
Zn  0.000  0.000  0.000
Mo  0.266  0.766  0.500
Mo  0.734  0.234  0.500
Se  0.500  0.500  0.000

Uncorrected formation energy: 0.337 eV per atom
Raw total energy: -27.6 eV per formula unit
Calculated density: 9.2 g cm⁻³
Distance to the lowest polymorph of the same formula: 13.9 kJ per mole of atoms



# 4
VASP calculation (PBEsol) on a relaxed Li3Sb11S18 crystal.

Cell lengths 6.722, 7.750, 15.051 Å; angles 75.10, 79.22, 73.15 degrees
Sites, in units of the cell vectors:
Li  0.000  0.000  0.000
Li  0.015  0.523  0.990
Li  0.902  0.885  0.300
Sb  0.127  0.641  0.676
Sb  0.135  0.139  0.678
Sb  0.295  0.478  0.416
Sb  0.299  0.980  0.412
Sb  0.494  0.700  0.876
Sb  0.498  0.199  0.872
Sb  0.511  0.318  0.110
Sb  0.519  0.834  0.113
Sb  0.707  0.055  0.554
Sb  0.716  0.560  0.549
Sb  0.898  0.390  0.296
S  0.001  0.269  0.490
S  0.157  0.587  0.261
S  0.158  0.096  0.258
S  0.212  0.040  0.844
S  0.218  0.533  0.838
S  0.276  0.677  0.026
S  0.284  0.178  0.027
S  0.438  0.338  0.615
S  0.439  0.848  0.613
S  0.564  0.691  0.363
S  0.569  0.177  0.371
S  0.718  0.852  0.954
S  0.720  0.355  0.953
S  0.772  0.993  0.147
S  0.791  0.496  0.135
S  0.851  0.445  0.713
S  0.854  0.934  0.717
S  0.983  0.769  0.480

Uncorrected formation energy: -0.443 eV per atom
Raw total energy: -149.1 eV per formula unit
Calculated density: 4.5 g cm⁻³



# 5
VASP calculation (PBEsol) on a relaxed Rb2TlRuPb crystal.

Cell lengths 6.726, 6.726, 5.069 Å; angles 90.00, 90.00, 90.00 degrees
Sites, in units of the cell vectors:
Rb  0.000  0.500  0.000
Rb  0.500  0.000  0.000
Tl  0.000  0.000  0.500
Ru  0.500  0.500  0.500
Pb  0.500  0.500  0.000

Energy of formation from the pure elements: 4.59 eV/f.u.
Raw total energy: -14.3 eV per formula unit
Calculated density: 5.0 g cm⁻³



# 6
VASP calculation (PBEsol) on a relaxed Fe2NiRh crystal.

Cell lengths 3.613, 3.613, 3.569 Å; angles 90.00, 90.00, 90.00 degrees
Sites, in units of the cell vectors:
Fe  0.000  0.500  0.000
Fe  0.500  0.000  0.000
Ni  0.000  0.000  0.500
Rh  0.500  0.500  0.500

Energy of formation from the pure elements: 0.02 eV/f.u.
Raw total energy: -32.2 eV per formula unit
Calculated density: 9.7 g cm⁻³



# 7
VASP calculation (PBEsol) on a relaxed BeTc2Ru crystal.

Cell lengths 4.849, 4.849, 4.849 Å; angles 144.46, 130.76, 62.19 degrees
Sites, in units of the cell vectors:
Be  0.000  0.000  0.000
Tc  0.239  0.739  0.500
Tc  0.761  0.261  0.500
Ru  0.500  0.500  0.000

Energy of formation from the pure elements: -0.23 eV/f.u.
Raw total energy: -36.9 eV per formula unit
Calculated density: 10.2 g cm⁻³



# 8
VASP calculation (PBEsol) on a relaxed K2BaRhAu crystal.

Cell lengths 5.795, 5.795, 5.551 Å; angles 90.00, 90.00, 90.00 degrees
Sites, in units of the cell vectors:
K  0.000  0.500  0.000
K  0.500  0.000  0.000
Ba  0.000  0.000  0.500
Rh  0.000  0.000  0.000
Au  0.500  0.500  0.500

Energy of formation from the pure elements: 1.66 eV/f.u.
Raw total energy: -14.8 eV per formula unit
Calculated density: 4.6 g cm⁻³



# 9
VASP calculation (PBEsol) on a relaxed FeCoIr2 crystal.

Cell lengths 8.457, 8.457, 8.457 Å; angles 18.02, 18.02, 18.02 degrees
Sites, in units of the cell vectors:
Fe  0.000  0.000  0.000
Co  0.743  0.743  0.743
Ir  0.250  0.250  0.250
Ir  0.493  0.493  0.493

Energy of formation from the pure elements: 0.27 eV/f.u.
Raw total energy: -36.1 eV per formula unit
Calculated density: 16.4 g cm⁻³



# 10
VASP calculation (PBEsol) on a relaxed LiInCu2 crystal.

Cell lengths 4.273, 4.273, 4.273 Å; angles 60.00, 60.00, 60.00 degrees
Sites, in units of the cell vectors:
Li  0.000  0.000  0.000
In  0.250  0.250  0.250
Cu  0.500  0.500  0.500
Cu  0.750  0.750  0.750

Energy of formation from the pure elements: -0.42 eV/f.u.
Raw total energy: -14.0 eV per formula unit
Calculated density: 7.5 g cm⁻³



# 11
VASP calculation (PBEsol) on a relaxed AlSiPb crystal.

Cell lengths 6.016, 6.016, 6.016 Å; angles 149.64, 144.89, 47.08 degrees
Sites, in units of the cell vectors:
Al  0.000  0.000  0.000
Si  0.596  0.596  0.000
Pb  0.298  0.298  0.000

Uncorrected formation energy: 0.290 eV per atom
Raw total energy: -13.0 eV per formula unit
Calculated density: 6.9 g cm⁻³
Distance to the lowest polymorph of the same formula: 0.0 kJ per mole of atoms



# 12
VASP calculation (PBEsol) on a relaxed ScZnRh2 crystal.

Cell lengths 4.983, 4.983, 4.983 Å; angles 136.28, 136.28, 63.55 degrees
Sites, in units of the cell vectors:
Sc  0.000  0.000  0.000
Zn  0.750  0.250  0.500
Rh  0.250  0.750  0.500
Rh  0.500  0.500  0.000

Energy of formation from the pure elements: -2.36 eV/f.u.
Raw total energy: -26.8 eV per formula unit
Calculated density: 9.0 g cm⁻³



# 13
VASP calculation (PBEsol) on a relaxed Re2AuSe crystal.

Cell lengths 2.750, 2.750, 9.570 Å; angles 90.00, 90.00, 118.73 degrees
Sites, in units of the cell vectors:
Re  0.000  0.000  0.245
Re  0.000  0.000  0.755
Au  0.500  0.500  0.500
Se  0.500  0.500  0.000

Uncorrected formation energy: 0.872 eV per atom
Raw total energy: -31.0 eV per formula unit
Calculated density: 17.0 g cm⁻³



# 14
VASP calculation (PBEsol) on a relaxed ZnAs2Pt crystal.

Cell lengths 3.725, 3.725, 6.316 Å; angles 107.26, 107.26, 59.80 degrees
Sites, in units of the cell vectors:
Zn  0.000  0.000  0.000
As  0.243  0.243  0.726
As  0.757  0.757  0.274
Pt  0.500  0.500  0.500

Energy of formation from the pure elements: -0.50 eV/f.u.
Raw total energy: -19.3 eV per formula unit
Calculated density: 9.6 g cm⁻³



# 15
VASP calculation (PBEsol) on a relaxed Sr3LaCu2HgBiO10 crystal.

Cell lengths 9.612, 9.612, 9.612 Å; angles 148.37, 148.31, 45.38 degrees
Sites, in units of the cell vectors:
Sr  0.000  0.000  0.000
Sr  0.206  0.206  0.000
Sr  0.498  0.498  0.000
La  0.702  0.702  0.000
Cu  0.099  0.599  0.500
Cu  0.599  0.099  0.500
Hg  0.853  0.353  0.500
Bi  0.353  0.853  0.500
O  0.229  0.729  0.500
O  0.353  0.353  0.000
O  0.360  0.360  0.507
O  0.360  0.852  0.000
O  0.478  0.978  0.500
O  0.733  0.233  0.500
O  0.848  0.848  0.000
O  0.852  0.360  0.000
O  0.852  0.852  0.493
O  0.974  0.474  0.500

Uncorrected formation energy: -1.798 eV per atom
Raw total energy: -109.2 eV per formula unit
Calculated density: 7.5 g cm⁻³



# 16
VASP calculation (PBEsol) on a relaxed KZrSb2 crystal.

Cell lengths 3.148, 3.901, 8.742 Å; angles 90.00, 90.00, 90.00 degrees
Sites, in units of the cell vectors:
K  0.000  0.000  0.000
Zr  0.000  0.000  0.500
Sb  0.500  0.500  0.294
Sb  0.500  0.500  0.706

Uncorrected formation energy: -0.532 eV per atom
Raw total energy: -21.5 eV per formula unit
Calculated density: 5.8 g cm⁻³
Distance to the lowest polymorph of the same formula: 0.0 kJ per mole of atoms



# 17
VASP calculation (PBEsol) on a relaxed La2CdPb crystal.

Cell lengths 6.218, 6.218, 6.218 Å; angles 135.84, 135.84, 64.22 degrees
Sites, in units of the cell vectors:
La  0.000  0.000  0.000
La  0.750  0.250  0.500
Cd  0.250  0.750  0.500
Pb  0.500  0.500  0.000

Energy of formation from the pure elements: -1.75 eV/f.u.
Raw total energy: -17.6 eV per formula unit
Calculated density: 8.6 g cm⁻³



# 18
VASP calculation (PBEsol) on a relaxed YTi2Pt2 crystal.

Cell lengths 6.052, 6.052, 6.052 Å; angles 138.48, 138.48, 60.16 degrees
Sites, in units of the cell vectors:
Y  0.000  0.000  0.000
Ti  0.250  0.750  0.500
Ti  0.750  0.250  0.500
Pt  0.377  0.377  0.000
Pt  0.623  0.623  0.000

Energy of formation from the pure elements: -4.31 eV/f.u.
Raw total energy: -41.7 eV per formula unit
Calculated density: 9.9 g cm⁻³



# 19
VASP calculation (PBEsol) on a relaxed BaCa2In crystal.

Cell lengths 4.037, 4.037, 9.376 Å; angles 90.00, 90.00, 90.00 degrees
Sites, in units of the cell vectors:
Ba  0.000  0.000  0.000
Ca  0.000  0.000  0.400
Ca  0.500  0.500  0.669
In  0.500  0.500  0.236

Energy of formation from the pure elements: -0.96 eV/f.u.
Raw total energy: -10.4 eV per formula unit
Calculated density: 3.6 g cm⁻³



# 20
VASP calculation (PBEsol) on a relaxed Y2TlPb crystal.

Cell lengths 5.555, 5.555, 5.555 Å; angles 127.34, 127.34, 77.70 degrees
Sites, in units of the cell vectors:
Y  0.250  0.750  0.500
Y  0.750  0.250  0.500
Tl  0.000  0.000  0.000
Pb  0.500  0.500  0.000

Energy of formation from the pure elements: -1.97 eV/f.u.
Raw total energy: -22.2 eV per formula unit
Calculated density: 9.3 g cm⁻³



# 21
VASP calculation (PBEsol) on a relaxed Ca2InPt crystal.

Cell lengths 8.833, 8.833, 8.833 Å; angles 25.13, 25.13, 25.13 degrees
Sites, in units of the cell vectors:
Ca  0.233  0.233  0.233
Ca  0.767  0.767  0.767
In  0.000  0.000  0.000
Pt  0.500  0.500  0.500

Energy of formation from the pure elements: -1.82 eV/f.u.
Raw total energy: -16.0 eV per formula unit
Calculated density: 5.9 g cm⁻³



# 22
VASP calculation (PBEsol) on a relaxed MnRe2I crystal.

Cell lengths 4.432, 4.432, 4.432 Å; angles 60.00, 60.00, 60.00 degrees
Sites, in units of the cell vectors:
Mn  0.000  0.000  0.000
Re  0.250  0.250  0.250
Re  0.750  0.750  0.750
I  0.500  0.500  0.500

Uncorrected formation energy: 1.045 eV per atom
Raw total energy: -34.0 eV per formula unit
Calculated density: 14.9 g cm⁻³



# 23
VASP calculation (PBEsol) on a relaxed Ag2PtAu crystal.

Cell lengths 5.451, 5.451, 5.451 Å; angles 148.53, 129.34, 60.87 degrees
Sites, in units of the cell vectors:
Ag  0.249  0.249  0.000
Ag  0.751  0.751  0.000
Pt  0.000  0.500  0.500
Au  0.500  0.000  0.500

Energy of formation from the pure elements: 0.04 eV/f.u.
Raw total energy: -17.5 eV per formula unit
Calculated density: 15.6 g cm⁻³
Distance to the lowest polymorph of the same formula: 4.9 kJ per mole of atoms



# 24
VASP calculation (PBEsol) on a relaxed TeIrIO2 crystal.

Cell lengths 3.906, 3.906, 7.354 Å; angles 90.00, 90.00, 90.00 degrees
Sites, in units of the cell vectors:
Te  0.000  0.000  0.000
Ir  0.500  0.500  0.500
I  0.500  0.500  0.000
O  0.000  0.500  0.500
O  0.500  0.000  0.500

Uncorrected formation energy: 0.204 eV per atom
Raw total energy: -24.6 eV per formula unit
Calculated density: 7.1 g cm⁻³
Distance to the lowest polymorph of the same formula: 0.0 kJ per mole of atoms



# 25
VASP calculation (PBEsol) on a relaxed Cu6Pt5 crystal.

Cell lengths 4.548, 5.942, 5.987 Å; angles 107.70, 105.10, 97.74 degrees
Sites, in units of the cell vectors:
Cu  0.000  0.000  0.000
Cu  0.088  0.821  0.360
Cu  0.358  0.271  0.449
Cu  0.726  0.547  0.908
Cu  0.815  0.362  0.270
Cu  0.907  0.184  0.631
Pt  0.175  0.625  0.718
Pt  0.260  0.450  0.090
Pt  0.455  0.098  0.812
Pt  0.551  0.919  0.186
Pt  0.640  0.728  0.543

Energy of formation from the pure elements: -1.10 eV/f.u.
Raw total energy: -61.9 eV per formula unit
Calculated density: 15.6 g cm⁻³



# 26
VASP calculation (PBEsol) on a relaxed SrTeIr2 crystal.

Cell lengths 4.925, 4.157, 5.044 Å; angles 90.00, 105.68, 90.00 degrees
Sites, in units of the cell vectors:
Sr  0.000  0.000  0.000
Te  0.627  0.500  0.359
Ir  0.422  0.500  0.841
Ir  0.431  0.000  0.588

Uncorrected formation energy: -0.078 eV per atom
Raw total energy: -25.3 eV per formula unit
Calculated density: 10.0 g cm⁻³



# 27
VASP calculation (PBEsol) on a relaxed Cu2Mo crystal.

Cell lengths 2.621, 2.621, 6.529 Å; angles 90.00, 90.00, 120.00 degrees
Sites, in units of the cell vectors:
Cu  0.333  0.667  0.156
Cu  0.667  0.333  0.844
Mo  0.000  0.000  0.500

Energy of formation from the pure elements: 0.81 eV/f.u.
Raw total energy: -19.6 eV per formula unit
Calculated density: 9.5 g cm⁻³